No. 1
# HoErBiAs

Crystalline HoErBiAs at its relaxed geometry (PBE, Alexandria).

Unit cell a=4.195 b=4.195 c=7.702 alpha=90.00 beta=105.81 gamma=120.00
Atoms (fractional coordinates):
Ho (0.951, 0.373, 0.339)
Er (0.323, 0.559, 0.898)
Bi (0.472, 0.134, 0.621)
As (0.132, 0.964, 0.111)

Computed properties:
Calculated total energy   -5.4785 eV/atom
SG   No. 160
ΔE_f   -1.0607 eV/atom

No. 2
# Er6BiAs2P3

Crystalline Er6BiAs2P3 at its relaxed geometry (PBE, Alexandria).

Unit cell a=4.056 b=8.223 c=9.143 alpha=103.22 beta=102.82 gamma=90.00
Atoms (fractional coordinates):
Er (0.324, 0.916, 0.649)
Er (0.667, 0.587, 0.334)
Er (0.676, 0.084, 0.351)
Er (0.999, 0.272, 0.997)
Er (0.001, 0.728, 0.003)
Er (0.333, 0.413, 0.666)
Bi (0.500, 0.000, 0.000)
As (0.833, 0.666, 0.666)
As (0.167, 0.334, 0.334)
P (0.500, 0.500, 0.000)
P (0.834, 0.168, 0.669)
P (0.166, 0.832, 0.331)

Computed properties:
Calculated total energy   -6.1439 eV/atom
SG   No. 12
ΔE_f   -1.4117 eV/atom